No. 1
La2TlRu after structural relaxation. Source: Alexandria via LeMat-Bulk, functional GGA-PBE.

Lattice parameters (Å, degrees): 8.3527 8.3527 6.4634 90.00 90.00 90.00
Space group I-42d (No. 122)
Symmetry-distinct sites (fractional):
La 0.1818 0.7500 0.1250 [8 per cell]
Tl 0.0000 0.0000 0.5000 [4 per cell]
Ru 0.0000 0.0000 0.0000 [4 per cell]

Calculated values
DFT formation energy	-107	meV/atom
total magnetization	0.00	μB/f.u.
distance to the lowest polymorph of the same formula	203	meV per atom

No. 2
LaTl2Ru after structural relaxation. Source: Alexandria via LeMat-Bulk, functional GGA-PBE.

Lattice parameters (Å, degrees): 3.8105 5.0263 5.4969 90.00 105.89 90.00
Space group P2/m (No. 10)
Symmetry-distinct sites (fractional):
La 0.0000 0.0000 0.0000 [1 per cell]
Tl 0.3506 0.5000 0.7171 [2 per cell]
Ru 0.5000 0.0000 0.5000 [1 per cell]

Calculated values
DFT formation energy	59	meV/atom
total magnetization	0.00	μB/f.u.

No. 3
La4TlRu after structural relaxation. Source: Alexandria via LeMat-Bulk, functional GGA-PBE.

Lattice parameters (Å, degrees): 9.3934 15.3443 7.0247 90.00 123.49 90.00
Space group C2/c (No. 15)
Symmetry-distinct sites (fractional):
La 0.1515 0.2083 0.1522 [8 per cell]
La 0.2306 0.0436 0.7184 [8 per cell]
Tl 0.0000 0.3826 0.7500 [4 per cell]
Ru 0.0000 0.0816 0.2500 [4 per cell]

Calculated values
DFT formation energy	-225	meV/atom
total magnetization	0.00	μB/f.u.
distance to the lowest polymorph of the same formula	73	meV per atom

No. 4
LaTlRu2 after structural relaxation. Source: Alexandria via LeMat-Bulk, functional GGA-PBE.

Lattice parameters (Å, degrees): 6.9626 6.9626 6.9626 90.00 90.00 90.00
Space group F-43m (No. 216)
Symmetry-distinct sites (fractional):
La 0.0000 0.0000 0.0000 [4 per cell]
Tl 0.2500 0.2500 0.2500 [4 per cell]
Ru 0.0000 0.0000 0.5000 [4 per cell]
Ru 0.2500 0.2500 0.7500 [4 per cell]

Calculated values
DFT formation energy	483	meV/atom
total magnetization	2.34	μB/f.u.
distance to the lowest polymorph of the same formula	327	meV per atom

No. 5
La2TlRu after structural relaxation. Source: Alexandria via LeMat-Bulk, functional GGA-PBE.

Lattice parameters (Å, degrees): 3.4867 3.5655 8.7576 90.00 90.00 90.00
Space group Pmmm (No. 47)
Symmetry-distinct sites (fractional):
La 0.0000 0.0000 0.2011 [2 per cell]
Tl 0.5000 0.5000 0.5000 [1 per cell]
Ru 0.5000 0.5000 0.0000 [1 per cell]

Calculated values
DFT formation energy	-305	meV/atom
total magnetization	0.00	μB/f.u.
distance to the lowest polymorph of the same formula	4	meV per atom

No. 6
LaTl2Ru after structural relaxation. Source: Alexandria via LeMat-Bulk, functional GGA-PBE.

Lattice parameters (Å, degrees): 4.2772 4.2772 22.6935 90.00 90.00 90.00
Space group I-42d (No. 122)
Symmetry-distinct sites (fractional):
La 0.0000 0.0000 0.0000 [4 per cell]
Tl 0.2308 0.2500 0.6250 [8 per cell]
Ru 0.0000 0.0000 0.5000 [4 per cell]

Calculated values
DFT formation energy	217	meV/atom
total magnetization	0.00	μB/f.u.

No. 7
La6Tl3Ru after structural relaxation. Source: Alexandria via LeMat-Bulk, functional GGA-PBE.

Lattice parameters (Å, degrees): 5.8380 9.3187 13.0352 90.00 115.90 90.00
Space group P2_1/c (No. 14)
Symmetry-distinct sites (fractional):
La 0.0203 0.1475 0.0627 [4 per cell]
La 0.3135 0.5131 0.2673 [4 per cell]
La 0.4300 0.1971 0.4498 [4 per cell]
Tl 0.0000 0.0000 0.5000 [2 per cell]
Tl 0.2133 0.6446 0.7576 [4 per cell]
Ru 0.5000 0.0000 0.0000 [2 per cell]

Calculated values
DFT formation energy	-314	meV/atom
total magnetization	0.00	μB/f.u.

No. 8
LaTl2Ru after structural relaxation. Source: Alexandria via LeMat-Bulk, functional GGA-PBE.

Lattice parameters (Å, degrees): 3.9636 3.9636 24.9253 90.00 90.00 120.00
Space group R3m (No. 160, hexagonal axes)
Symmetry-distinct sites (fractional):
La 0.0000 0.0000 0.0000 [3 per cell]
Tl 0.0000 0.0000 0.2211 [3 per cell]
Tl 0.0000 0.0000 0.4570 [3 per cell]
Ru 0.0000 0.0000 0.7248 [3 per cell]

Calculated values
DFT formation energy	100	meV/atom
total magnetization	0.00	μB/f.u.

No. 9
La2TlRu after structural relaxation. Source: Alexandria via LeMat-Bulk, functional GGA-PBE.

Lattice parameters (Å, degrees): 4.2175 5.6990 9.1440 90.00 90.00 90.00
Space group Immm (No. 71)
Symmetry-distinct sites (fractional):
La 0.0000 0.0000 0.2000 [4 per cell]
Tl 0.0000 0.5000 0.0000 [2 per cell]
Ru 0.0000 0.5000 0.5000 [2 per cell]

Calculated values
DFT formation energy	-222	meV/atom
total magnetization	0.00	μB/f.u.
distance to the lowest polymorph of the same formula	88	meV per atom

No. 10
LaTlRu2 after structural relaxation. Source: Alexandria via LeMat-Bulk, functional GGA-PBE.

Lattice parameters (Å, degrees): 8.9310 3.3031 5.6744 90.00 99.29 90.00
Space group C2/m (No. 12)
Symmetry-distinct sites (fractional):
La 0.0000 0.0000 0.0000 [2 per cell]
Tl 0.0000 0.5000 0.5000 [2 per cell]
Ru 0.2370 0.0000 0.7850 [4 per cell]

Calculated values
DFT formation energy	341	meV/atom
total magnetization	0.00	μB/f.u.
distance to the lowest polymorph of the same formula	185	meV per atom

No. 11
La2TlRu after structural relaxation. Source: Alexandria via LeMat-Bulk, functional GGA-PBE.

Lattice parameters (Å, degrees): 3.6419 3.6419 7.5558 90.00 90.00 90.00
Space group P4mm (No. 99)
Symmetry-distinct sites (fractional):
La 0.0000 0.0000 0.0000 [1 per cell]
La 0.5000 0.5000 0.2940 [1 per cell]
Tl 0.5000 0.5000 0.7127 [1 per cell]
Ru 0.0000 0.0000 0.4981 [1 per cell]

Calculated values
DFT formation energy	38	meV/atom
total magnetization	0.36	μB/f.u.
distance to the lowest polymorph of the same formula	348	meV per atom

No. 12
LaTl2Ru after structural relaxation. Source: Alexandria via LeMat-Bulk, functional GGA-PBE.

Lattice parameters (Å, degrees): 7.3083 7.3083 7.3083 90.00 90.00 90.00
Space group F-43m (No. 216)
Symmetry-distinct sites (fractional):
La 0.0000 0.0000 0.0000 [4 per cell]
Tl 0.0000 0.0000 0.5000 [4 per cell]
Tl 0.2500 0.2500 0.2500 [4 per cell]
Ru 0.2500 0.2500 0.7500 [4 per cell]

Calculated values
DFT formation energy	172	meV/atom
total magnetization	0.00	μB/f.u.

Look up the DFT formation energy of the eleventh one. 38 meV/atom

Which formula does entry 12 have? LaTl2Ru

Among the records above, which one has the highest DFT formation energy? number 4

Look up the total magnetization of the ninth one. 0.00 μB/f.u.